# PBE-GGA SmErTm3, relaxed
data_SmErTm3
_symmetry_space_group_name_H-M 'P 1'
_symmetry_Int_Tables_number 1
_symmetry_space_group_name_Hall 'P 1'
_cell_length_a 3.5258
_cell_length_b 8.5803
_cell_length_c 10.8127
_cell_angle_alpha 71.75
_cell_angle_beta 90.01
_cell_angle_gamma 90.02
loop_
_atom_site_label
_atom_site_fract_x
_atom_site_fract_y
_atom_site_fract_z
Sm1 0.2504 0.5158 0.7454
Sm2 0.7496 0.4842 0.2546
Tm1 0.2500 0.6867 0.9749
Tm2 0.7501 0.9044 0.1505
Tm3 0.2499 0.0956 0.8495
Tm4 0.7497 0.3096 0.5676
Tm5 0.7500 0.3133 0.0251
Tm6 0.2503 0.6904 0.4324
Er1 0.2494 0.1131 0.3481
Er2 0.7506 0.8869 0.6519
# ΔE_f in meV per atom: 46.4
# SG: No. 11
# Uncorrected energy in eV per atom: -4.493
# Calculated density in kg/m³: 8813
# Relative energy among the computed polymorphs in meV/atom: 42.9

=====

# PBE-GGA SmEr8Tm3, relaxed
data_SmEr8Tm3
_symmetry_space_group_name_H-M 'P 1'
_symmetry_Int_Tables_number 1
_symmetry_space_group_name_Hall 'P 1'
_cell_length_a 8.5239
_cell_length_b 8.5239
_cell_length_c 8.5239
_cell_angle_alpha 97.53
_cell_angle_beta 98.48
_cell_angle_gamma 136.18
loop_
_atom_site_label
_atom_site_fract_x
_atom_site_fract_y
_atom_site_fract_z
Tm1 0.5000 0.2440 0.7440
Tm2 0.5000 0.7560 0.2560
Tm3 0.0000 0.5000 0.5000
Er1 0.4970 0.7534 0.7441
Er2 0.8319 0.2507 0.0827
Er3 0.9907 0.2466 0.7436
Er4 0.8320 0.7493 0.5813
Er5 0.0093 0.7530 0.2559
Er6 0.5030 0.2470 0.2564
Er7 0.1680 0.7492 0.9173
Er8 0.1681 0.2508 0.4187
Sm1 0.0000 0.0000 0.0000
# ΔE_f in meV per atom: 338.6
# SG: No. 71
# Uncorrected energy in eV per atom: -4.214
# Calculated density in kg/m³: 8329

=====

# PBE-GGA SmEr7Tm2, relaxed
data_SmEr7Tm2
_symmetry_space_group_name_H-M 'P 1'
_symmetry_Int_Tables_number 1
_symmetry_space_group_name_Hall 'P 1'
_cell_length_a 5.5342
_cell_length_b 9.1008
_cell_length_c 9.1008
_cell_angle_alpha 123.02
_cell_angle_beta 90.00
_cell_angle_gamma 90.00
loop_
_atom_site_label
_atom_site_fract_x
_atom_site_fract_y
_atom_site_fract_z
Er1 0.0000 0.7862 0.2138
Er2 0.5000 0.9382 0.7083
Er3 0.5000 0.0618 0.2917
Er4 0.5000 0.5000 0.5000
Er5 0.0000 0.2138 0.7862
Er6 0.5000 0.2917 0.0618
Er7 0.5000 0.7083 0.9382
Tm1 0.5000 0.2969 0.7031
Tm2 0.5000 0.7031 0.2969
Sm1 0.0000 0.0000 0.0000
# ΔE_f in meV per atom: 711.8
# SG: No. 65
# Uncorrected energy in eV per atom: -3.848
# Calculated density in kg/m³: 7168
# Relative energy among the computed polymorphs in meV/atom: 663.4

=====

# PBE-GGA SmEr2Tm2, relaxed
data_SmEr2Tm2
_symmetry_space_group_name_H-M 'P 1'
_symmetry_Int_Tables_number 1
_symmetry_space_group_name_Hall 'P 1'
_cell_length_a 9.3077
_cell_length_b 9.3077
_cell_length_c 3.6494
_cell_angle_alpha 90.00
_cell_angle_beta 90.00
_cell_angle_gamma 90.00
loop_
_atom_site_label
_atom_site_fract_x
_atom_site_fract_y
_atom_site_fract_z
Tm1 0.1242 0.6242 0.0000
Tm2 0.6242 0.8758 0.0000
Tm3 0.8758 0.3758 0.0000
Tm4 0.3758 0.1242 0.0000
Sm1 0.5000 0.5000 0.0000
Sm2 0.0000 0.0000 0.0000
Er1 0.3274 0.8274 0.5000
Er2 0.6726 0.1726 0.5000
Er3 0.8274 0.6726 0.5000
Er4 0.1726 0.3274 0.5000
# ΔE_f in meV per atom: 86.1
# SG: No. 127
# Uncorrected energy in eV per atom: -4.471
# Calculated density in kg/m³: 8642
# Relative energy among the computed polymorphs in meV/atom: 0.0

=====

# PBE-GGA Sm3Er6Tm, relaxed
data_Sm3Er6Tm
_symmetry_space_group_name_H-M 'P 1'
_symmetry_Int_Tables_number 1
_symmetry_space_group_name_Hall 'P 1'
_cell_length_a 6.2061
_cell_length_b 10.9040
_cell_length_c 10.9040
_cell_angle_alpha 119.71
_cell_angle_beta 90.00
_cell_angle_gamma 90.00
loop_
_atom_site_label
_atom_site_fract_x
_atom_site_fract_y
_atom_site_fract_z
Er1 0.1409 0.7200 0.2800
Er2 0.5389 0.6171 0.7120
Er3 0.3652 0.0423 0.4631
Er4 0.8652 0.4631 0.0423
Er5 0.6409 0.2800 0.7200
Er6 0.5389 0.2880 0.3829
Er7 0.0389 0.7120 0.6171
Er8 0.8652 0.9577 0.5369
Er9 0.3652 0.5369 0.9577
Er10 0.4101 0.9539 0.0461
Er11 0.0389 0.3829 0.2880
Er12 0.9101 0.0461 0.9539
Tm1 0.6406 0.7945 0.2055
Tm2 0.1406 0.2055 0.7945
Sm1 0.0668 0.3908 0.6092
Sm2 0.4595 0.9395 0.7188
Sm3 0.4595 0.2812 0.0605
Sm4 0.5668 0.6092 0.3908
Sm5 0.9595 0.0605 0.2812
Sm6 0.9595 0.7188 0.9395
# ΔE_f in meV per atom: 150.8
# SG: No. 36
# Uncorrected energy in eV per atom: -4.450
# Calculated density in kg/m³: 8414
# Relative energy among the computed polymorphs in meV/atom: 0.0

=====

# PBE-GGA SmErTm14, relaxed
data_SmErTm14
_symmetry_space_group_name_H-M 'P 1'
_symmetry_Int_Tables_number 1
_symmetry_space_group_name_Hall 'P 1'
_cell_length_a 6.8479
_cell_length_b 6.8479
_cell_length_c 10.9635
_cell_angle_alpha 90.00
_cell_angle_beta 90.00
_cell_angle_gamma 108.55
loop_
_atom_site_label
_atom_site_fract_x
_atom_site_fract_y
_atom_site_fract_z
Tm1 0.5541 0.4459 0.0000
Tm2 0.3471 0.6529 0.7678
Tm3 0.0379 0.3746 0.0000
Tm4 0.8352 0.5863 0.2488
Tm5 0.4137 0.1648 0.7512
Tm6 0.3471 0.6529 0.2322
Tm7 0.1032 0.8968 0.0000
Tm8 0.6254 0.9621 0.0000
Tm9 0.2141 0.3751 0.5000
Tm10 0.6249 0.7859 0.5000
Tm11 0.4137 0.1648 0.2488
Tm12 0.9021 0.0979 0.2648
Tm13 0.8352 0.5863 0.7512
Tm14 0.9021 0.0979 0.7352
Er1 0.1457 0.8543 0.5000
Sm1 0.6985 0.3015 0.5000
# ΔE_f in meV per atom: 61.3
# SG: No. 38
# Uncorrected energy in eV per atom: -4.431
# Calculated density in kg/m³: 9140